The following is a GGA-PBE calculation of a geometry-optimized LaSc2Be structure, from Alexandria via LeMat-Bulk.

Cell lengths 5.091, 5.091, 5.091 Å; angles 60.00, 60.00, 60.00 degrees
Fractional coordinates of all 4 atoms:
Sc  0.000  0.000  0.000
Sc  0.750  0.750  0.750
Be  0.500  0.500  0.500
La  0.250  0.250  0.250

## Properties
The calculated total energy comes out at -20.24 eV/cell. For the formation energy, the calculation gives 0.269 eV/atom.